Record 1
# Sc2ReRuF | Alexandria | PBE | optimized geometry
data_Sc2ReRuF
_space_group_name_H-M_alt 'P 1'
_space_group_IT_number 1
_space_group_name_Hall 'P 1'
_cell_length_a 4.3879
_cell_length_b 4.3879
_cell_length_c 4.0722
_cell_angle_alpha 90.00
_cell_angle_beta 90.00
_cell_angle_gamma 90.00
loop_
_atom_site_label
_atom_site_fract_x
_atom_site_fract_y
_atom_site_fract_z
_atom_site_occupancy
Sc1 0.0000 0.5000 0.0000 1
Sc2 0.5000 0.0000 0.0000 1
Re1 0.0000 0.0000 0.5000 1
Ru1 0.5000 0.5000 0.5000 1
F1 0.0000 0.0000 0.0000 1
# Calculated total energy: -7.5038 eV per atom
# Energy relative to the elements, uncorrected: -252 meV/atom

=====

Record 2
# SrReRuF2 | Alexandria | PBE | optimized geometry
data_SrReRuF2
_space_group_name_H-M_alt 'P 1'
_space_group_IT_number 1
_space_group_name_Hall 'P 1'
_cell_length_a 4.3419
_cell_length_b 4.3419
_cell_length_c 4.8159
_cell_angle_alpha 90.00
_cell_angle_beta 90.00
_cell_angle_gamma 90.00
loop_
_atom_site_label
_atom_site_fract_x
_atom_site_fract_y
_atom_site_fract_z
_atom_site_occupancy
Sr1 0.0000 0.0000 0.0000 1
Re1 0.5000 0.5000 0.5000 1
Ru1 0.5000 0.5000 0.0000 1
F1 0.0000 0.5000 0.5000 1
F2 0.5000 0.0000 0.5000 1
# Calculated total energy: -5.8978 eV per atom
# Energy relative to the elements, uncorrected: -468 meV/atom

=====

Record 3
# ReTc2RuF | Alexandria | PBE | optimized geometry
data_ReTc2RuF
_space_group_name_H-M_alt 'P 1'
_space_group_IT_number 1
_space_group_name_Hall 'P 1'
_cell_length_a 4.6951
_cell_length_b 4.6951
_cell_length_c 3.7228
_cell_angle_alpha 90.00
_cell_angle_beta 90.00
_cell_angle_gamma 90.00
loop_
_atom_site_label
_atom_site_fract_x
_atom_site_fract_y
_atom_site_fract_z
_atom_site_occupancy
Re1 0.0000 0.0000 0.0000 1
Tc1 0.0000 0.5000 0.5000 1
Tc2 0.5000 0.0000 0.5000 1
Ru1 0.5000 0.5000 0.5000 1
F1 0.5000 0.5000 0.0000 1
# E above lowest polymorph: 0 meV/atom
# Calculated total energy: -7.5637 eV per atom
# Energy relative to the elements, uncorrected: 1302 meV/atom

=====

Record 4
# ReTcRu2F | Alexandria | PBE | optimized geometry
data_ReTcRu2F
_space_group_name_H-M_alt 'P 1'
_space_group_IT_number 1
_space_group_name_Hall 'P 1'
_cell_length_a 4.7283
_cell_length_b 4.7283
_cell_length_c 4.7785
_cell_angle_alpha 90.00
_cell_angle_beta 90.00
_cell_angle_gamma 90.00
loop_
_atom_site_label
_atom_site_fract_x
_atom_site_fract_y
_atom_site_fract_z
_atom_site_occupancy
Re1 0.0000 0.0000 0.0000 1
Tc1 0.0000 0.0000 0.5000 1
Ru1 0.0000 0.5000 0.0000 1
Ru2 0.5000 0.0000 0.0000 1
F1 0.5000 0.5000 0.5000 1
# Calculated total energy: -7.0118 eV per atom
# Energy relative to the elements, uncorrected: 1636 meV/atom

=====

Record 5
# ReTc2RuF | Alexandria | PBE | optimized geometry
data_ReTc2RuF
_space_group_name_H-M_alt 'P 1'
_space_group_IT_number 1
_space_group_name_Hall 'P 1'
_cell_length_a 4.7536
_cell_length_b 4.7536
_cell_length_c 4.7244
_cell_angle_alpha 90.00
_cell_angle_beta 90.00
_cell_angle_gamma 90.00
loop_
_atom_site_label
_atom_site_fract_x
_atom_site_fract_y
_atom_site_fract_z
_atom_site_occupancy
Re1 0.0000 0.0000 0.0000 1
Tc1 0.0000 0.5000 0.0000 1
Tc2 0.5000 0.0000 0.0000 1
Ru1 0.0000 0.0000 0.5000 1
F1 0.5000 0.5000 0.5000 1
# E above lowest polymorph: 370 meV/atom
# Calculated total energy: -7.1934 eV per atom
# Energy relative to the elements, uncorrected: 1672 meV/atom

=====

Record 6
# Re2SF | Alexandria | PBE | optimized geometry
data_Re2SF
_space_group_name_H-M_alt 'P 1'
_space_group_IT_number 1
_space_group_name_Hall 'P 1'
_cell_length_a 5.9251
_cell_length_b 5.9251
_cell_length_c 5.9251
_cell_angle_alpha 125.80
_cell_angle_beta 125.80
_cell_angle_gamma 80.22
loop_
_atom_site_label
_atom_site_fract_x
_atom_site_fract_y
_atom_site_fract_z
_atom_site_occupancy
Re1 0.1148 0.6250 0.9898 1
Re2 0.3750 0.3648 0.4898 1
Re3 0.6352 0.1250 0.0102 1
Re4 0.8750 0.8852 0.5102 1
S1 0.0000 0.0000 0.0000 1
S2 0.7500 0.2500 0.5000 1
F1 0.2500 0.7500 0.5000 1
F2 0.5000 0.5000 0.0000 1
# E above lowest polymorph: 367 meV/atom
# Calculated total energy: -6.9065 eV per atom
# Energy relative to the elements, uncorrected: 817 meV/atom

=====

Record 7
# Re2SF | Alexandria | PBE | optimized geometry
data_Re2SF
_space_group_name_H-M_alt 'P 1'
_space_group_IT_number 1
_space_group_name_Hall 'P 1'
_cell_length_a 4.1111
_cell_length_b 4.1111
_cell_length_c 4.1111
_cell_angle_alpha 60.00
_cell_angle_beta 60.00
_cell_angle_gamma 60.00
loop_
_atom_site_label
_atom_site_fract_x
_atom_site_fract_y
_atom_site_fract_z
_atom_site_occupancy
Re1 0.2500 0.2500 0.2500 1
Re2 0.7500 0.7500 0.7500 1
S1 0.0000 0.0000 0.0000 1
F1 0.5000 0.5000 0.5000 1
# E above lowest polymorph: 0 meV/atom
# Calculated total energy: -7.2735 eV per atom
# Energy relative to the elements, uncorrected: 450 meV/atom

=====

Record 8
# Re3SF | Alexandria | PBE | optimized geometry
data_Re3SF
_space_group_name_H-M_alt 'P 1'
_space_group_IT_number 1
_space_group_name_Hall 'P 1'
_cell_length_a 4.3654
_cell_length_b 4.3654
_cell_length_c 4.3654
_cell_angle_alpha 90.00
_cell_angle_beta 90.00
_cell_angle_gamma 90.00
loop_
_atom_site_label
_atom_site_fract_x
_atom_site_fract_y
_atom_site_fract_z
_atom_site_occupancy
Re1 0.0000 0.0000 0.5000 1
Re2 0.0000 0.5000 0.0000 1
Re3 0.5000 0.0000 0.0000 1
S1 0.0000 0.0000 0.0000 1
F1 0.5000 0.5000 0.5000 1
# E above lowest polymorph: 0 meV/atom
# Calculated total energy: -7.2930 eV per atom
# Energy relative to the elements, uncorrected: 1376 meV/atom